Entry from Alexandria via LeMat-Bulk: a geometry-optimized NaGeBi2 structure (PBE-GGA).

magnetization = 0.00 μB per cell
density of states at the Fermi level = 2.579 states/eV/f.u.
calculated formation energy = 4.1 kJ per mole of atoms
mass density = 7.2 g/cm3

Cell lengths 3.9149, 3.9149, 9.1886 Å; angles 77.70, 77.70, 60.00 degrees
Last column: nearest neighbours and their distance in Å.
Atoms (fractional coordinates):
Bi (0.2618, 0.2618, 0.2145)  3 Ge 2.96
Bi (0.7382, 0.7382, 0.7855)  3 Ge 2.96
Na (0.5000, 0.5000, 0.5000)  6 Bi 3.40
Ge (0.0000, 0.0000, 0.0000)  6 Bi 2.96